Entry 1:
First-principles (GGA-PBE) data for crystalline Tb3Ge4Ir2 at its relaxed geometry, as listed in Alexandria via LeMat-Bulk.

Computed properties:
E_tot: -6.359 eV per atom
crystal system: monoclinic
DFT formation energy: -690 kJ/mol of formula units

Cell and atoms, written as CIF:
```
data_Tb3Ge4Ir2
_cell_length_a 10.742
_cell_length_b 4.344
_cell_length_c 8.309
_cell_angle_alpha 90.00
_cell_angle_beta 106.49
_cell_angle_gamma 90.00
_space_group_name_H-M_alt 'C 1 2/m 1'
_space_group_IT_number 12
_space_group_name_Hall '-C 2y'
loop_
_atom_site_label
_atom_site_fract_x
_atom_site_fract_y
_atom_site_fract_z
_atom_site_occupancy
Tb1 0.000 0.000 0.000 1
Tb2 0.173 0.500 0.648 1
Ge1 0.045 0.000 0.376 1
Ge2 0.225 0.500 0.070 1
Ir1 0.097 0.500 0.272 1
```

=====

Entry 2:
First-principles (GGA-PBE) data for crystalline TbGe4Ir2 at its relaxed geometry, as listed in Alexandria via LeMat-Bulk.

Computed properties:
E_tot: -6.424 eV per atom
crystal system: orthorhombic
DFT formation energy: -400 kJ/mol of formula units

Cell and atoms, written as CIF:
```
data_TbGe4Ir2
_cell_length_a 17.260
_cell_length_b 4.218
_cell_length_c 6.785
_cell_angle_alpha 90.00
_cell_angle_beta 90.00
_cell_angle_gamma 90.00
_space_group_name_H-M_alt 'P n m a'
_space_group_IT_number 62
_space_group_name_Hall '-P 2ac 2n'
loop_
_atom_site_label
_atom_site_fract_x
_atom_site_fract_y
_atom_site_fract_z
_atom_site_occupancy
Tb1 0.142 0.250 0.004 1
Ge1 0.035 0.750 0.867 1
Ge2 0.066 0.250 0.469 1
Ge3 0.182 0.750 0.307 1
Ge4 0.193 0.750 0.727 1
Ir1 0.032 0.750 0.250 1
Ir2 0.212 0.250 0.522 1
```